TaHg2Pt after structural relaxation, computed with PBE.

Results
mass density: 17.37 g cm⁻³
density of states at the Fermi level: 17.1 states/eV/cell
crystal system: cubic
total energy: -0.3117 Ry/atom
DFT formation energy: 0.383 eV per atom

Cell: 6.674 6.674 6.674 Å, 90.00 90.00 90.00°
Space group Fm-3m (No. 225)
Asymmetric unit:
Ta1 0.000 0.000 0.000 (multiplicity 4)
Hg1 0.250 0.250 0.250 (multiplicity 8)
Pt1 0.000 0.000 0.500 (multiplicity 4)